Pm2Zn3Pt2 | GGA-PBE | optimized geometry

Output
Spin magnetization ... 0.0 μB per formula unit
Calculated density ... 10.36 Mg/m³
Space group ... C2/m, No. 12
Electronic total energy ... -0.324 Ry/atom
Formation energy ... -777 meV/atom

Geometry as POSCAR:
```
Pm2Zn3Pt2
1.0
5.0221 -2.1444 0.0000
5.0221 2.1444 0.0000
-2.7296 0.0000 6.5226
Pm Zn Pt
2 3 2
Direct
0.1461 0.1461 0.2652
0.8539 0.8539 0.7348
0.3748 0.3748 0.0636
0.5000 0.5000 0.5000
0.6252 0.6252 0.9364
0.1410 0.1410 0.7013
0.8590 0.8590 0.2987
```